A plane-wave DFT calculation with GGA-PBE was carried out for Pm2TaTc2N6 after structural relaxation.

```
Pm2TaTc2N6
1.0
5.971 0.000 0.000
2.986 5.171 0.000
2.986 1.724 5.459
N Pm Tc Ta
6 2 2 1
direct
0.235 0.776 0.754
0.776 0.235 0.754
0.765 0.765 0.246
0.235 0.235 0.754
0.224 0.765 0.246
0.765 0.224 0.246
0.800 0.800 0.599
0.200 0.200 0.401
0.432 0.432 0.703
0.568 0.568 0.297
0.000 0.000 0.000
```

Computed properties:
Magnetic moment   0.00 μB/f.u.
Crystal system   trigonal
Uncorrected formation energy   -49.7 kJ/mol of atoms
Fermi-level density of states   4.611 states/eV/cell